1.
NpAlRe | PBE | relaxed

Computed properties:
Calculated density   15.52 g/cm³
Fermi-level density of states   6.4 states/eV per cell
DFT total energy   -29.3 eV per formula unit
Size of the total moment   0.000 μB/atom
Energy relative to the elements   -0.064 eV per atom

a = 2.758 Å, b = 4.457 Å, c = 10.901 Å
α = 89.99°, β = 134.04°, γ = 90.00°
Fractional coordinates of all 6 atoms:
Re  0.495  0.750  0.569
Re  0.505  0.250  0.431
Al  0.254  0.750  0.269
Al  0.746  0.250  0.731
Np  0.765  0.750  0.918
Np  0.235  0.250  0.082

---

2.
NpAlRe2 | PBE | relaxed

Computed properties:
Calculated density   15.77 g/cm³
Fermi-level density of states   6.6 states/eV per cell
DFT total energy   -39.9 eV per formula unit
Size of the total moment   0.792 μB/atom
Energy relative to the elements   0.417 eV per atom

a = 2.823 Å, b = 2.823 Å, c = 9.850 Å
α = 81.76°, β = 81.76°, γ = 60.00°
Site moments in Bohr magnetons follow the coordinates.
Fractional coordinates of all 4 atoms:
Np  0.000  0.000  0.000  3.10
Re  0.094  0.094  0.718  0.02
Re  0.906  0.906  0.282  0.02
Al  0.500  0.500  0.500  0.01

---

3.
NpAlRe | PBE | relaxed

Computed properties:
Calculated density   13.58 g/cm³
Fermi-level density of states   5.4 states/eV per cell
DFT total energy   -28.8 eV per formula unit
Size of the total moment   0.897 μB/atom
Energy relative to the elements   0.115 eV per atom

a = 3.128 Å, b = 3.128 Å, c = 6.047 Å
α = 104.99°, β = 104.99°, γ = 90.00°
Site moments in Bohr magnetons follow the coordinates.
Fractional coordinates of all 3 atoms:
Np  0.316  0.316  0.632  3.05
Re  0.657  0.657  0.313  -0.45
Al  0.027  0.027  0.055  -0.02

---

4.
NpAl10Re2 | PBE | relaxed

Computed properties:
Calculated density   6.74 g/cm³
Fermi-level density of states   20.4 states/eV per cell
DFT total energy   -78.4 eV per formula unit
Size of the total moment   0.284 μB/atom
Energy relative to the elements   -0.244 eV per atom

a = 6.899 Å, b = 6.899 Å, c = 9.185 Å
α = 90.00°, β = 90.00°, γ = 97.34°
Site moments in Bohr magnetons follow the coordinates.
Fractional coordinates of all 26 atoms:
Np  0.874  0.126  0.750  3.71
Np  0.126  0.874  0.250  3.71
Al  0.406  0.140  0.750  -0.01
Al  0.594  0.860  0.250  -0.01
Al  0.860  0.594  0.750  -0.01
Al  0.140  0.406  0.250  -0.01
Al  0.526  0.786  0.750  0.00
Al  0.474  0.214  0.250  0.00
Al  0.214  0.474  0.750  0.00
Al  0.786  0.526  0.250  0.00
Al  0.847  0.153  0.401  0.00
Al  0.153  0.847  0.901  0.00
Al  0.847  0.153  0.099  0.00
Al  0.153  0.847  0.599  0.00
Al  0.624  0.376  0.959  -0.01
Al  0.376  0.624  0.459  -0.01
Al  0.624  0.376  0.541  -0.01
Al  0.376  0.624  0.041  -0.01
Al  0.777  0.777  0.000  0.00
Al  0.223  0.223  0.500  0.00
Al  0.223  0.223  0.000  0.00
Al  0.777  0.777  0.500  0.00
Re  0.500  0.000  0.000  -0.08
Re  0.500  0.000  0.500  -0.08
Re  0.000  0.500  0.500  -0.08
Re  0.000  0.500  0.000  -0.08

---

5.
Np2Al2ReSi4 | PBE | relaxed

Computed properties:
Calculated density   8.87 g/cm³
Fermi-level density of states   18.4 states/eV per cell
Formation energy (no corrections)   -0.25 eV per atom
DFT total energy   -69.8 eV per formula unit
Size of the total moment   0.894 μB/atom

a = 6.038 Å, b = 6.038 Å, c = 6.038 Å
α = 89.30°, β = 120.40°, γ = 120.40°
Site moments in Bohr magnetons follow the coordinates.
Fractional coordinates of all 9 atoms:
Np  0.500  0.750  0.250  3.72
Np  0.500  0.250  0.750  3.72
Al  0.000  0.713  0.713  0.01
Al  0.000  0.287  0.287  0.01
Re  0.000  0.000  0.000  -0.01
Si  0.000  0.714  0.286  -0.01
Si  0.429  0.714  0.714  -0.01
Si  0.000  0.286  0.714  -0.01
Si  0.571  0.286  0.286  -0.01

---

6.
NpAlZnRe | PBE | relaxed

Computed properties:
Calculated density   12.21 g/cm³
Fermi-level density of states   7.6 states/eV per cell
DFT total energy   -29.4 eV per formula unit
Size of the total moment   0.780 μB/atom
Energy relative to the elements   0.263 eV per atom

a = 4.628 Å, b = 4.628 Å, c = 4.628 Å
α = 60.00°, β = 60.00°, γ = 60.00°
Site moments in Bohr magnetons follow the coordinates.
Fractional coordinates of all 4 atoms:
Np  0.250  0.250  0.250  -3.23
Re  0.500  0.500  0.500  0.23
Zn  0.000  0.000  0.000  -0.03
Al  0.750  0.750  0.750  0.00